Entry from the Alexandria database: a relaxed Li6CaTl2 crystal (PBE).

Cell lengths 4.4312, 4.4312, 10.4775 Å; angles 90.00, 90.00, 90.00 degrees
With the nearest neighbours (Å) after each atom.
Space group P4/mmm (No. 123)
Unique sites:
Li  0.0000  0.0000  0.0000 x1  12 Li 3.02-3.13
Li  0.0000  0.5000  0.1955 x4  2 Tl 2.78, 4 Li 3.02
Li  0.5000  0.5000  0.0000 x1  12 Li 3.02-3.13
Ca  0.0000  0.0000  0.5000 x1  8 Tl 3.48, 8 Li 3.88
Tl  0.5000  0.5000  0.3565 x2  4 Li 2.78, 1 Tl 3.01

Computed properties:
**Total magnetization**: 0.00 μB per formula unit
**Calculated volume**: 205.7 Å³ per cell
**E**: -2.154 eV/atom
**Polymorph energy (0 for the lowest one)**: 80 meV/atom
**Calculated formation energy**: -1.17 eV/f.u.

Entry from the Alexandria database: a relaxed La2PmUN5 crystal (PBE).

Cell lengths 4.1179, 4.1179, 9.1852 Å; angles 90.00, 90.00, 90.00 degrees
With the nearest neighbours (Å) after each atom.
Space group P4/mmm (No. 123)
Unique sites:
La  0.0000  0.0000  0.2291 x2  1 N 2.49
Pm  0.5000  0.5000  0.5000 x1  2 N 2.34
U  0.5000  0.5000  0.0000 x1  6 N 2.06-2.26
N  0.0000  0.0000  0.5000 x1  2 La 2.49
N  0.0000  0.5000  0.0000 x2  2 U 2.06
N  0.5000  0.5000  0.2455 x2  1 U 2.26, 1 Pm 2.34

Computed properties:
**Total magnetization**: 0.00 μB per formula unit
**Calculated volume**: 155.8 Å³ per cell
**E**: -8.767 eV/atom
**Raw formation energy**: -1.265 eV per atom

Entry from the Alexandria database: a relaxed Dy4Y2Er crystal (PBE).

Cell lengths 6.2327, 6.4802, 11.4506 Å; angles 90.00, 105.58, 90.00 degrees
With the nearest neighbours (Å) after each atom.
Space group P2_1/m (No. 11)
Unique sites:
Dy  0.0363  0.2500  0.3634 x2  2 Dy 3.32, 3 Er 3.33-3.46, 3 Y 3.37-3.51
Dy  0.1399  0.2500  0.9474 x2  1 Er 3.28, 4 Dy 3.40-3.46, 4 Y 3.41-3.42
Dy  0.3422  0.5044  0.2136 x4  5 Dy 3.18-3.46, 1 Er 3.41, 1 Y 3.49
Y  0.2966  0.7500  0.9246 x2  9 Dy 3.39-3.61
Y  0.3861  0.7500  0.5045 x2  6 Dy 3.37-3.64, 1 Er 3.46, 2 Y 3.55
Er  0.1647  0.2500  0.6647 x2  6 Dy 3.28-3.46, 1 Y 3.46

Computed properties:
**Total magnetization**: 0.00 μB per formula unit
**Calculated volume**: 445.5 Å³ per cell
**E**: -4.995 eV/atom
**Polymorph energy (0 for the lowest one)**: 128 meV/atom
**Calculated formation energy**: 0.93 eV/f.u.

Entry from the Alexandria database: a relaxed TaBeB2C crystal (PBE).

Cell lengths 3.7276, 3.7276, 3.3444 Å; angles 90.00, 90.00, 90.00 degrees
With the nearest neighbours (Å) after each atom.
Space group P4/mmm (No. 123)
Unique sites:
Ta  0.0000  0.0000  0.0000 x1  8 B 2.50, 4 C 2.64
Be  0.5000  0.5000  0.5000 x1  2 C 1.67, 4 B 1.86
B  0.0000  0.5000  0.5000 x2  2 Be 1.86
C  0.5000  0.5000  0.0000 x1  2 Be 1.67

Computed properties:
**Total magnetization**: 0.00 μB per formula unit
**Calculated volume**: 46.5 Å³ per cell
**E**: -6.360 eV/atom
**Calculated formation energy**: 6.36 eV/f.u.

Entry from the Alexandria database: a relaxed SiAuCl2 crystal (PBE).

Cell lengths 3.1338, 3.1338, 10.6091 Å; angles 90.00, 90.00, 90.00 degrees
With the nearest neighbours (Å) after each atom.
Space group P4/mmm (No. 123)
Unique sites:
Si  0.0000  0.0000  0.0000 x1  8 Cl 2.74
Au  0.0000  0.0000  0.5000 x1  4 Au 3.13
Cl  0.5000  0.5000  0.1515 x2  4 Si 2.74

Computed properties:
**Total magnetization**: 0.00 μB per formula unit
**Calculated volume**: 104.2 Å³ per cell
**E**: -2.895 eV/atom
**Raw formation energy**: 0.203 eV per atom
**Polymorph energy (0 for the lowest one)**: 601 meV/atom

Entry from the Alexandria database: a relaxed LiZnSi4 crystal (PBE).

Cell lengths 7.2095, 7.2095, 7.2095 Å; angles 90.00, 90.00, 90.00 degrees
With the nearest neighbours (Å) after each atom.
Space group F-43m (No. 216)
Unique sites:
Li  0.0000  0.0000  0.0000 x4  12 Si 2.99, 4 Zn 3.12
Zn  0.2500  0.2500  0.2500 x4  12 Si 2.99, 4 Li 3.12
Si  0.1253  0.1253  0.6253 x16  6 Si 2.54-2.55

Computed properties:
**Total magnetization**: 0.00 μB per formula unit
**Calculated volume**: 374.7 Å³ per cell
**E**: -3.926 eV/atom
**Raw formation energy**: 0.220 eV per atom

Entry from the Alexandria database: a relaxed Al2Tc2Ni crystal (PBE).

Cell lengths 6.3115, 6.3115, 3.4916 Å; angles 90.00, 90.00, 90.00 degrees
With the nearest neighbours (Å) after each atom.
Space group P4/mbm (No. 127)
Unique sites:
Al  0.1383  0.3617  0.0000 x4  2 Ni 2.44, 6 Tc 2.46-2.61, 1 Al 2.47
Tc  0.1681  0.6681  0.5000 x4  6 Al 2.46-2.61
Ni  0.0000  0.0000  0.0000 x2  4 Al 2.44

Computed properties:
**Total magnetization**: 0.52 μB per formula unit
**Calculated volume**: 139.1 Å³ per cell
**E**: -6.903 eV/atom
**Polymorph energy (0 for the lowest one)**: 0 meV/atom
**Calculated formation energy**: -0.51 eV/f.u.

Entry from the Alexandria database: a relaxed TbSm2Tm6Sc crystal (PBE).

Cell lengths 8.9181, 14.7029, 9.4539 Å; angles 90.00, 98.52, 90.00 degrees
With the nearest neighbours (Å) after each atom.
Space group C2/c (No. 15)
Unique sites:
Tb  0.0000  0.0190  0.2500 x4  4 Sm 3.32-3.34, 4 Tm 3.51-3.58
Sm  0.2496  0.0511  0.5463 x8  5 Tm 3.17-3.48, 2 Tb 3.32-3.34, 1 Sc 3.42
Tm  0.0638  0.1909  0.9420 x8  8 Tm 3.37-3.77, 1 Sm 3.48, 1 Tb 3.58, 1 Sc 3.70
Tm  0.1004  0.3945  0.1163 x8  3 Sm 3.17-3.37, 4 Tm 3.21-3.41, 2 Sc 3.32-3.45
Tm  0.2089  0.2210  0.3102 x8  3 Tm 3.21-3.56, 1 Sm 3.33, 1 Sc 3.35, 1 Tb 3.51
Sc  0.0000  0.4100  0.7500 x4  8 Tm 3.32-3.70, 2 Sm 3.42

Computed properties:
**Total magnetization**: 0.00 μB per formula unit
**Calculated volume**: 1225.9 Å³ per cell
**E**: -4.599 eV/atom
**Calculated formation energy**: 1.24 eV/f.u.

Entry from the Alexandria database: a relaxed LiSmTmCd crystal (PBE).

Cell lengths 7.4653, 7.4653, 7.4653 Å; angles 90.00, 90.00, 90.00 degrees
With the nearest neighbours (Å) after each atom.
Space group F-43m (No. 216)
Unique sites:
Li  0.0000  0.0000  0.0000 x4  4 Tm 3.23, 4 Sm 3.23
Sm  0.2500  0.2500  0.7500 x4  4 Cd 3.23, 4 Li 3.23
Tm  0.2500  0.2500  0.2500 x4  4 Cd 3.23, 4 Li 3.23
Cd  0.0000  0.0000  0.5000 x4  4 Tm 3.23, 4 Sm 3.23

Computed properties:
**Total magnetization**: 0.00 μB per formula unit
**Calculated volume**: 416.0 Å³ per cell
**E**: -3.115 eV/atom
**Calculated formation energy**: -0.44 eV/f.u.

Entry from the Alexandria database: a relaxed SrTaGeH2 crystal (PBE).

Cell lengths 3.9254, 3.9254, 6.6178 Å; angles 90.00, 90.00, 90.00 degrees
With the nearest neighbours (Å) after each atom.
Space group P4/mmm (No. 123)
Unique sites:
Sr  0.0000  0.0000  0.0000 x1  4 H 1.96
Ta  0.5000  0.5000  0.5000 x1  4 Ge 2.78
Ge  0.0000  0.0000  0.5000 x1  4 Ta 2.78
H  0.0000  0.5000  0.0000 x2  2 Sr 1.96

Computed properties:
**Total magnetization**: 1.01 μB per formula unit
**Calculated volume**: 102.0 Å³ per cell
**E**: -4.250 eV/atom

Entry from the Alexandria database: a relaxed TlCdTcPb2 crystal (PBE).

Cell lengths 5.8075, 5.8075, 5.3786 Å; angles 90.00, 90.00, 90.00 degrees
With the nearest neighbours (Å) after each atom.
Space group P4/mmm (No. 123)
Unique sites:
Tl  0.0000  0.0000  0.0000 x1  2 Cd 2.69, 4 Pb 2.90
Cd  0.0000  0.0000  0.5000 x1  2 Tl 2.69
Tc  0.5000  0.5000  0.5000 x1  8 Pb 3.96, 4 Cd 4.11
Pb  0.0000  0.5000  0.0000 x2  2 Tl 2.90

Computed properties:
**Total magnetization**: 3.92 μB per formula unit
**Calculated volume**: 181.4 Å³ per cell
**E**: -2.814 eV/atom
**Calculated formation energy**: 7.00 eV/f.u.

Entry from the Alexandria database: a relaxed Ru crystal (PBE).

Cell lengths 7.8822, 7.8822, 2.6048 Å; angles 90.00, 90.00, 90.00 degrees
With the nearest neighbours (Å) after each atom.
Space group P4_2/mnm (No. 136)
Unique sites:
Ru  0.1361  0.1361  0.0000 x4  6 Ru 2.40-2.60
Ru  0.1667  0.8333  0.0000 x4  6 Ru 2.40-2.60

Computed properties:
**Total magnetization**: 0.00 μB per formula unit
**Calculated volume**: 161.8 Å³ per cell
**E**: -8.250 eV/atom
**Polymorph energy (0 for the lowest one)**: 1026 meV/atom
**Calculated formation energy**: 1.03 eV/f.u.

> What is the calculated volume in the first record?

205.7 Å³ per cell

> total magnetization of number 7 (Al2Tc2Ni)?

0.52 μB per formula unit

Repeat the twelfth record exactly.
Entry from the Alexandria database: a relaxed Ru crystal (PBE).

Cell lengths 7.8822, 7.8822, 2.6048 Å; angles 90.00, 90.00, 90.00 degrees
With the nearest neighbours (Å) after each atom.
Space group P4_2/mnm (No. 136)
Unique sites:
Ru  0.1361  0.1361  0.0000 x4  6 Ru 2.40-2.60
Ru  0.1667  0.8333  0.0000 x4  6 Ru 2.40-2.60

Computed properties:
**Total magnetization**: 0.00 μB per formula unit
**Calculated volume**: 161.8 Å³ per cell
**E**: -8.250 eV/atom
**Polymorph energy (0 for the lowest one)**: 1026 meV/atom
**Calculated formation energy**: 1.03 eV/f.u.